ScNbInFe2: optimized geometry, PBE.

```
data_ScNbInFe2
_chemical_formula_sum 'Sc1 Nb1 In1 Fe2'
_cell_length_a 4.453
_cell_length_b 5.258
_cell_length_c 4.453
_cell_angle_alpha 90.00
_cell_angle_beta 90.00
_cell_angle_gamma 90.00
_space_group_name_H-M_alt 'P 1'
_space_group_IT_number 1
loop_
_space_group_symop_operation_xyz
'x,y,z'
loop_
_atom_site_label
_atom_site_type_symbol
_atom_site_fract_x
_atom_site_fract_y
_atom_site_fract_z
_atom_site_occupancy
In1 In 0.000 0.500 0.000 1
Fe1 Fe 0.500 0.000 0.000 1
Sc1 Sc 0.500 0.500 0.500 1
Nb1 Nb 0.000 0.000 0.000 1
Fe2 Fe 0.000 0.000 0.500 1
```

E_form = 5.1 eV per formula unit
Size of the total moment = 0.00 μB/f.u.
Raw total energy = -6.1988 eV/atom
Space group = P4/mmm, No. 123

***

Ti2NbInFe: optimized geometry, PBE.

```
data_Ti2NbInFe
_chemical_formula_sum 'Ti2 Nb1 In1 Fe1'
_cell_length_a 4.393
_cell_length_b 4.828
_cell_length_c 4.393
_cell_angle_alpha 90.00
_cell_angle_beta 90.00
_cell_angle_gamma 90.00
_space_group_name_H-M_alt 'P 1'
_space_group_IT_number 1
loop_
_space_group_symop_operation_xyz
'x,y,z'
loop_
_atom_site_label
_atom_site_type_symbol
_atom_site_fract_x
_atom_site_fract_y
_atom_site_fract_z
_atom_site_occupancy
Ti1 Ti 0.000 0.000 0.500 1
Nb1 Nb 0.500 0.500 0.500 1
Ti2 Ti 0.500 0.000 0.000 1
In1 In 0.000 0.500 0.000 1
Fe1 Fe 0.000 0.000 0.000 1
```

E_form = 2.5 eV per formula unit
Size of the total moment = 0.00 μB/f.u.
Raw total energy = -6.9195 eV/atom
Space group = P4/mmm, No. 123

***

TiNb2InFe: optimized geometry, PBE.

```
data_TiNb2InFe
_chemical_formula_sum 'Ti1 Nb2 In1 Fe1'
_cell_length_a 5.036
_cell_length_b 4.517
_cell_length_c 5.036
_cell_angle_alpha 90.00
_cell_angle_beta 90.00
_cell_angle_gamma 90.00
_space_group_name_H-M_alt 'P 1'
_space_group_IT_number 1
loop_
_space_group_symop_operation_xyz
'x,y,z'
loop_
_atom_site_label
_atom_site_type_symbol
_atom_site_fract_x
_atom_site_fract_y
_atom_site_fract_z
_atom_site_occupancy
Nb1 Nb 0.000 0.000 0.500 1
In1 In 0.000 0.000 0.000 1
Fe1 Fe 0.000 0.500 0.000 1
Nb2 Nb 0.500 0.000 0.000 1
Ti1 Ti 0.500 0.500 0.500 1
```

E_form = 9.4 eV per formula unit
Size of the total moment = 1.88 μB/f.u.
Raw total energy = -5.9755 eV/atom
Space group = P4/mmm, No. 123

***

YNb2InFe: optimized geometry, PBE.

```
data_YNb2InFe
_chemical_formula_sum 'Y1 Nb2 In1 Fe1'
_cell_length_a 5.004
_cell_length_b 5.004
_cell_length_c 5.521
_cell_angle_alpha 90.00
_cell_angle_beta 90.00
_cell_angle_gamma 90.00
_space_group_name_H-M_alt 'P 1'
_space_group_IT_number 1
loop_
_space_group_symop_operation_xyz
'x,y,z'
loop_
_atom_site_label
_atom_site_type_symbol
_atom_site_fract_x
_atom_site_fract_y
_atom_site_fract_z
_atom_site_occupancy
Y1 Y 0.000 0.000 0.000 1
Nb1 Nb 0.500 0.000 0.000 1
In1 In 0.000 0.000 0.500 1
Nb2 Nb 0.000 0.500 0.000 1
Fe1 Fe 0.500 0.500 0.500 1
```

E_form = 11.9 eV per formula unit
Size of the total moment = 0.53 μB/f.u.
Raw total energy = -5.1837 eV/atom
Space group = P4/mmm, No. 123

***

NbZnInFe: optimized geometry, PBE.

```
data_NbZnInFe
_chemical_formula_sum 'Nb1 Zn1 In1 Fe1'
_cell_length_a 4.451
_cell_length_b 4.451
_cell_length_c 4.451
_cell_angle_alpha 60.00
_cell_angle_beta 60.00
_cell_angle_gamma 60.00
_space_group_name_H-M_alt 'P 1'
_space_group_IT_number 1
loop_
_space_group_symop_operation_xyz
'x,y,z'
loop_
_atom_site_label
_atom_site_type_symbol
_atom_site_fract_x
_atom_site_fract_y
_atom_site_fract_z
_atom_site_occupancy
In1 In 0.250 0.250 0.250 1
Zn1 Zn 0.000 0.000 0.000 1
Fe1 Fe 0.500 0.500 0.500 1
Nb1 Nb 0.750 0.750 0.750 1
```

E_form = 0.4 eV per formula unit
Size of the total moment = 0.00 μB/f.u.
Raw total energy = -5.5349 eV/atom
Space group = F-43m, No. 216

***

Nd4InFe: optimized geometry, PBE.

```
data_Nd4InFe
_chemical_formula_sum 'Nd8 In2 Fe2'
_cell_length_a 6.006
_cell_length_b 7.253
_cell_length_c 9.200
_cell_angle_alpha 113.22
_cell_angle_beta 108.61
_cell_angle_gamma 90.00
_space_group_name_H-M_alt 'P 1'
_space_group_IT_number 1
loop_
_space_group_symop_operation_xyz
'x,y,z'
loop_
_atom_site_label
_atom_site_type_symbol
_atom_site_fract_x
_atom_site_fract_y
_atom_site_fract_z
_atom_site_occupancy
Fe1 Fe 0.664 0.485 0.970 1
In1 In 0.806 0.807 0.613 1
Nd1 Nd 0.615 0.879 0.243 1
In2 In 0.194 0.193 0.387 1
Nd2 Nd 0.385 0.121 0.757 1
Nd3 Nd 0.000 0.770 0.000 1
Nd4 Nd 0.615 0.364 0.243 1
Nd5 Nd 0.805 0.314 0.628 1
Nd6 Nd 0.385 0.636 0.757 1
Nd7 Nd 0.000 0.230 0.000 1
Fe2 Fe 0.336 0.515 0.030 1
Nd8 Nd 0.195 0.686 0.372 1
```

E_form = -0.8 eV per formula unit
Size of the total moment = 0.00 μB/f.u.
Raw total energy = -5.1798 eV/atom
Space group = C2/m, No. 12

***

Nd2InFe2Rh5: optimized geometry, PBE.

```
data_Nd2InFe2Rh5
_chemical_formula_sum 'Nd4 In2 Fe4 Rh10'
_cell_length_a 3.774
_cell_length_b 9.728
_cell_length_c 9.728
_cell_angle_alpha 90.00
_cell_angle_beta 90.00
_cell_angle_gamma 90.00
_space_group_name_H-M_alt 'P 1'
_space_group_IT_number 1
loop_
_space_group_symop_operation_xyz
'x,y,z'
loop_
_atom_site_label
_atom_site_type_symbol
_atom_site_fract_x
_atom_site_fract_y
_atom_site_fract_z
_atom_site_occupancy
Nd1 Nd 0.000 0.820 0.680 1
Rh1 Rh 0.500 0.786 0.935 1
Nd2 Nd 0.000 0.320 0.820 1
Rh2 Rh 0.500 0.286 0.565 1
Fe1 Fe 0.000 0.383 0.117 1
Rh3 Rh 0.500 0.500 0.000 1
Rh4 Rh 0.500 0.935 0.214 1
Rh5 Rh 0.500 0.714 0.435 1
In1 In 0.000 0.000 0.000 1
In2 In 0.000 0.500 0.500 1
Nd3 Nd 0.000 0.680 0.180 1
Rh6 Rh 0.500 0.565 0.714 1
Nd4 Nd 0.000 0.180 0.320 1
Fe2 Fe 0.000 0.617 0.883 1
Rh7 Rh 0.500 0.065 0.786 1
Fe3 Fe 0.000 0.117 0.617 1
Rh8 Rh 0.500 0.214 0.065 1
Rh9 Rh 0.500 0.000 0.500 1
Rh10 Rh 0.500 0.435 0.286 1
Fe4 Fe 0.000 0.883 0.383 1
```

E_form = -3.6 eV per formula unit
Size of the total moment = 7.54 μB/f.u.
Raw total energy = -6.9515 eV/atom
Space group = P4/mbm, No. 127

***

InFeNi2: optimized geometry, PBE.

```
data_InFeNi2
_chemical_formula_sum 'In1 Fe1 Ni2'
_cell_length_a 3.060
_cell_length_b 3.060
_cell_length_c 5.809
_cell_angle_alpha 90.00
_cell_angle_beta 90.00
_cell_angle_gamma 90.00
_space_group_name_H-M_alt 'P 1'
_space_group_IT_number 1
loop_
_space_group_symop_operation_xyz
'x,y,z'
loop_
_atom_site_label
_atom_site_type_symbol
_atom_site_fract_x
_atom_site_fract_y
_atom_site_fract_z
_atom_site_occupancy
Ni1 Ni 0.000 0.000 0.029 1
Ni2 Ni 0.500 0.500 0.258 1
In1 In 0.500 0.500 0.760 1
Fe1 Fe 0.000 0.000 0.453 1
```

E_form = 0.3 eV per formula unit
Size of the total moment = 3.07 μB/f.u.
Raw total energy = -5.6138 eV/atom
Space group = P4mm, No. 99